# 1
# Ho2UCuS6, relaxed, DFT PBE
data_Ho2UCuS6
_space_group_name_H-M_alt 'P 1'
_space_group_IT_number 1
_cell_length_a 5.943
_cell_length_b 6.438
_cell_length_c 6.438
_cell_angle_alpha 90.00
_cell_angle_beta 90.00
_cell_angle_gamma 90.00
loop_
_space_group_symop_operation_xyz
'x,y,z'
loop_
_atom_site_label
_atom_site_type_symbol
_atom_site_fract_x
_atom_site_fract_y
_atom_site_fract_z
_atom_site_occupancy
Ho1 Ho 0.991 0.500 0.000 1
Ho2 Ho 0.991 0.000 0.500 1
U1 U 0.617 0.500 0.500 1
Cu1 Cu 0.550 0.000 0.000 1
S1 S 0.738 0.236 0.236 1
S2 S 0.738 0.236 0.764 1
S3 S 0.165 0.500 0.500 1
S4 S 0.180 0.000 0.000 1
S5 S 0.738 0.764 0.764 1
S6 S 0.738 0.764 0.236 1
# E   -60.482 eV for the cell shown
# Size of the total moment   0.100 μB/atom
# Formation energy from raw total energies   -1.12 eV per atom

=====

# 2
# Ho2ZrCuS5, relaxed, DFT PBE
data_Ho2ZrCuS5
_space_group_name_H-M_alt 'P 1'
_space_group_IT_number 1
_cell_length_a 3.717
_cell_length_b 8.306
_cell_length_c 11.486
_cell_angle_alpha 90.00
_cell_angle_beta 90.00
_cell_angle_gamma 102.93
loop_
_space_group_symop_operation_xyz
'x,y,z'
loop_
_atom_site_label
_atom_site_type_symbol
_atom_site_fract_x
_atom_site_fract_y
_atom_site_fract_z
_atom_site_occupancy
Ho1 Ho 0.873 0.747 0.823 1
Ho2 Ho 0.113 0.226 0.691 1
Ho3 Ho 0.127 0.253 0.323 1
Ho4 Ho 0.887 0.774 0.191 1
Zr1 Zr 0.814 0.627 0.518 1
Zr2 Zr 0.186 0.373 0.018 1
Cu1 Cu 0.559 0.118 0.938 1
Cu2 Cu 0.441 0.882 0.438 1
S1 S 0.351 0.702 0.010 1
S2 S 0.690 0.381 0.853 1
S3 S 0.493 0.986 0.766 1
S4 S 0.292 0.585 0.678 1
S5 S 0.964 0.929 0.547 1
S6 S 0.649 0.298 0.510 1
S7 S 0.310 0.619 0.353 1
S8 S 0.507 0.014 0.266 1
S9 S 0.708 0.415 0.178 1
S10 S 0.036 0.071 0.047 1
# E   -113.249 eV for the cell shown
# Size of the total moment   0.000 μB/atom
# Formation energy from raw total energies   -1.58 eV per atom

=====

# 3
# Ho7Cu5Sb, relaxed, DFT PBE
data_Ho7Cu5Sb
_space_group_name_H-M_alt 'P 1'
_space_group_IT_number 1
_cell_length_a 4.283
_cell_length_b 4.283
_cell_length_c 16.650
_cell_angle_alpha 90.00
_cell_angle_beta 90.00
_cell_angle_gamma 90.00
loop_
_space_group_symop_operation_xyz
'x,y,z'
loop_
_atom_site_label
_atom_site_type_symbol
_atom_site_fract_x
_atom_site_fract_y
_atom_site_fract_z
_atom_site_occupancy
Ho1 Ho 0.500 0.500 0.408 1
Ho2 Ho 0.500 0.500 0.867 1
Ho3 Ho 0.500 0.500 0.212 1
Ho4 Ho 0.500 0.500 0.661 1
Ho5 Ho 0.000 0.000 0.335 1
Ho6 Ho 0.000 0.000 0.806 1
Ho7 Ho 0.000 0.000 0.087 1
Cu1 Cu 0.000 0.500 0.969 1
Cu2 Cu 0.000 0.500 0.513 1
Cu3 Cu 0.500 0.000 0.969 1
Cu4 Cu 0.500 0.000 0.513 1
Cu5 Cu 0.500 0.500 0.048 1
Sb1 Sb 0.000 0.000 0.612 1
# E   -57.099 eV for the cell shown
# Size of the total moment   0.002 μB/atom
# Formation energy from raw total energies   -0.03 eV per atom

=====

# 4
# Ho2CuSb, relaxed, DFT PBE
data_Ho2CuSb
_space_group_name_H-M_alt 'P 1'
_space_group_IT_number 1
_cell_length_a 3.904
_cell_length_b 4.930
_cell_length_c 4.930
_cell_angle_alpha 90.00
_cell_angle_beta 90.00
_cell_angle_gamma 90.00
loop_
_space_group_symop_operation_xyz
'x,y,z'
loop_
_atom_site_label
_atom_site_type_symbol
_atom_site_fract_x
_atom_site_fract_y
_atom_site_fract_z
_atom_site_occupancy
Sb1 Sb 0.500 0.500 0.500 1
Ho1 Ho 0.000 0.000 0.500 1
Ho2 Ho 0.000 0.500 0.000 1
Cu1 Cu 0.500 0.000 0.000 1
# Offset from the most stable computed form   131 meV per atom
# E   -19.397 eV for the cell shown
# Size of the total moment   0.000 μB/atom
# Formation energy from raw total energies   -0.51 eV per atom